A plane-wave DFT calculation with PBE was carried out for an optimized crystal structure of NdSmHoRu.

Properties
* energy of formation from the pure elements: 176 meV per atom
* magnetization: 0.00 μB/cell
* total energy: -5.6594 eV/atom
* D(E_F): 7.3 states/eV/cell
* symmetry: No. 216

a = 5.2442 Å, b = 5.2442 Å, c = 5.2442 Å
α = 60.00°, β = 60.00°, γ = 60.00°
Closest atoms and distances in Å follow each position.
Positions (direct):
1 Nd 0.0000 0.0000 0.0000  4 Ho 3.21, 4 Ru 3.21
2 Sm 0.5000 0.5000 0.5000  4 Ho 3.21, 4 Ru 3.21
3 Ho 0.7500 0.7500 0.7500  4 Sm 3.21, 4 Nd 3.21
4 Ru 0.2500 0.2500 0.2500  4 Nd 3.21, 4 Sm 3.21